Record 1
AcGeBr2, relaxed, DFT PBE-GGA; symmetry = R-3m, No. 166; spin magnetization = 0.00 μB/cell; DOS(E_F) = 0.806 states/eV/atom; calculated volume = 139.46 Å³/cell; final energy = -3.331 eV/atom; uncorrected formation energy = -0.313 eV/atom
1.0
-0.467 0.533 -3.843
2.105 -2.101 -2.534
-6.972 -7.918 -2.238
Br Ge Ac
2 1 1
Cartesian
-0.487 -3.659 -6.409 Br
-4.846 -5.827 -2.206 Br
-2.667 -4.743 -4.308 Ge
0.000 0.000 0.000 Ac

---

Record 2
CrCdGe2Br, relaxed, DFT PBE-GGA; symmetry = P4/mmm, No. 123; spin magnetization = 0.18 μB/cell; DOS(E_F) = 1.943 states/eV/atom; calculated volume = 136.32 Å³/cell; final energy = -2.913 eV/atom; uncorrected formation energy = 1.376 eV/atom
1.0
5.104 0.000 0.000
0.000 5.234 0.000
0.000 0.000 5.104
Br Ge Cd Cr
1 2 1 1
Cartesian
2.552 2.617 2.552 Br
0.000 0.000 2.552 Ge
2.552 0.000 0.000 Ge
0.000 0.000 0.000 Cd
0.000 2.617 0.000 Cr

---

Record 3
TaFeRe2H, relaxed, DFT PBE-GGA; symmetry = P4/mmm, No. 123; spin magnetization = 0.00 μB/cell; offset from the most stable computed form = 1903 meV/atom; DOS(E_F) = 0.909 states/eV/atom; calculated volume = 88.37 Å³/cell; final energy = -7.766 eV/atom
1.0
4.400 0.000 0.000
0.000 4.564 0.000
0.000 0.000 4.400
Re Fe Ta H
2 1 1 1
Cartesian
2.200 0.000 0.000 Re
0.000 0.000 2.200 Re
0.000 0.000 0.000 Fe
0.000 2.282 0.000 Ta
2.200 2.282 2.200 H

---

Record 4
La2Pr2Ho, relaxed, DFT PBE-GGA; symmetry = P2_1/m, No. 11; spin magnetization = 0.00 μB/cell; offset from the most stable computed form = 0 meV/atom; DOS(E_F) = 1.661 states/eV/atom; calculated volume = 359.03 Å³/cell; E_form = 31 meV per atom; final energy = -4.768 eV/atom
1.0
-1.418 -3.240 -4.789
-0.280 -5.301 3.668
-8.928 4.239 -0.224
La Pr Ho
4 4 2
Cartesian
-8.225 0.630 -3.510 La
-4.846 -5.304 -0.496 La
-2.388 -4.904 2.206 La
-5.767 1.030 -0.808 La
-6.555 -2.366 -1.977 Pr
-0.465 -2.551 0.045 Pr
-4.058 -1.908 0.673 Pr
-10.149 -1.723 -1.349 Pr
-7.708 -1.298 1.341 Ho
-2.906 -2.976 -2.645 Ho